(1)
{
  "formula": "Sc2SN",
  "functional": "PBE",
  "state": "relaxed",
  "lattice_angstrom": [[6.073, 0.000, 0.000], [0.000, 6.073, 0.000], [0.000, 0.000, 6.073]],
  "species": ["Sc", "Sc", "Sc", "Sc", "Sc", "Sc", "Sc", "Sc", "S", "S", "S", "S", "N", "N", "N", "N"],
  "fractional_positions": [[0.250, 0.250, 0.250], [0.250, 0.250, 0.750], [0.250, 0.750, 0.250], [0.250, 0.750, 0.750], [0.750, 0.250, 0.250], [0.750, 0.250, 0.750], [0.750, 0.750, 0.250], [0.750, 0.750, 0.750], [0.000, 0.000, 0.000], [0.000, 0.500, 0.500], [0.500, 0.000, 0.500], [0.500, 0.500, 0.000], [0.000, 0.000, 0.500], [0.000, 0.500, 0.000], [0.500, 0.000, 0.000], [0.500, 0.500, 0.500]],
  "e_above_lowest_polymorph_mev_per_atom": 930,
  "magmom_total_mub_per_fu": 0.7,
  "formation_energy_uncorrected_ev_per_atom": -0.946
}

---

(2)
{
  "formula": "CsPaP2",
  "functional": "PBE",
  "state": "relaxed",
  "lattice_angstrom": [[4.209, 0.000, 0.000], [-2.105, 3.645, 0.000], [0.000, 0.000, 24.413]],
  "species": ["Cs", "Cs", "Cs", "Pa", "Pa", "Pa", "P", "P", "P", "P", "P", "P"],
  "fractional_positions": [[0.000, 0.000, 0.000], [0.333, 0.667, 0.667], [0.667, 0.333, 0.333], [0.000, 0.000, 0.500], [0.333, 0.667, 0.167], [0.667, 0.333, 0.833], [0.000, 0.000, 0.222], [0.000, 0.000, 0.778], [0.333, 0.667, 0.445], [0.333, 0.667, 0.888], [0.667, 0.333, 0.112], [0.667, 0.333, 0.555]],
  "delta_e_f_ev_per_atom": -0.84,
  "e_above_lowest_polymorph_mev_per_atom": 0,
  "magmom_total_mub_per_fu": 0.0
}

---

(3)
{
  "formula": "Y2HoFe",
  "functional": "PBE",
  "state": "relaxed",
  "lattice_angstrom": [[7.064, 0.000, 0.000], [0.000, 9.202, 0.000], [0.000, 0.000, 6.282]],
  "species": ["Y", "Y", "Y", "Y", "Y", "Y", "Y", "Y", "Ho", "Ho", "Ho", "Ho", "Fe", "Fe", "Fe", "Fe"],
  "fractional_positions": [[0.174, 0.067, 0.174], [0.174, 0.433, 0.174], [0.326, 0.567, 0.674], [0.326, 0.933, 0.674], [0.674, 0.067, 0.326], [0.674, 0.433, 0.326], [0.826, 0.567, 0.826], [0.826, 0.933, 0.826], [0.051, 0.250, 0.641], [0.449, 0.750, 0.141], [0.551, 0.250, 0.859], [0.949, 0.750, 0.359], [0.112, 0.750, 0.973], [0.388, 0.250, 0.473], [0.612, 0.750, 0.527], [0.888, 0.250, 0.027]],
  "delta_e_f_ev_per_atom": 0.00,
  "e_above_lowest_polymorph_mev_per_atom": 0,
  "magmom_total_mub_per_fu": 0.0
}

---

(4)
{
  "formula": "LaZrNb3",
  "functional": "PBE",
  "state": "relaxed",
  "lattice_angstrom": [[5.057, 0.000, 0.000], [0.000, 5.057, 0.000], [0.000, 0.000, 5.057]],
  "species": ["La", "Zr", "Nb", "Nb", "Nb"],
  "fractional_positions": [[0.000, 0.000, 0.000], [0.500, 0.500, 0.500], [0.000, 0.500, 0.500], [0.500, 0.000, 0.500], [0.500, 0.500, 0.000]],
  "delta_e_f_ev_per_atom": 1.14,
  "e_above_lowest_polymorph_mev_per_atom": 0,
  "magmom_total_mub_per_fu": 0.0
}

---

(5)
{
  "formula": "PaTiSN2",
  "functional": "PBE",
  "state": "relaxed",
  "lattice_angstrom": [[6.926, 0.000, 0.000], [0.000, 3.966, 0.000], [-2.852, 0.000, 6.363]],
  "species": ["Pa", "Pa", "Ti", "Ti", "S", "S", "N", "N", "N", "N"],
  "fractional_positions": [[0.231, 0.250, 0.048], [0.769, 0.750, 0.952], [0.333, 0.750, 0.454], [0.667, 0.250, 0.546], [0.299, 0.750, 0.782], [0.701, 0.250, 0.218], [0.128, 0.750, 0.133], [0.357, 0.250, 0.398], [0.643, 0.750, 0.602], [0.872, 0.250, 0.867]],
  "magmom_total_mub_per_fu": 0.0,
  "formation_energy_uncorrected_ev_per_atom": -1.591
}

---

(6)
{
  "formula": "Ta2Ag2N",
  "functional": "PBE",
  "state": "relaxed",
  "lattice_angstrom": [[5.676, 0.000, 0.000], [0.000, 5.676, 0.000], [0.000, 0.000, 5.111]],
  "species": ["Ta", "Ta", "Ta", "Ta", "Ag", "Ag", "Ag", "Ag", "N", "N"],
  "fractional_positions": [[0.172, 0.328, 0.000], [0.328, 0.828, 0.000], [0.672, 0.172, 0.000], [0.828, 0.672, 0.000], [0.165, 0.665, 0.500], [0.335, 0.165, 0.500], [0.665, 0.835, 0.500], [0.835, 0.335, 0.500], [0.000, 0.000, 0.000], [0.500, 0.500, 0.000]],
  "magmom_total_mub_per_fu": 0.0,
  "formation_energy_uncorrected_ev_per_atom": -0.147
}